DFT (GGA-PBE) results for a relaxed structure of AsPbAu2.

Cell lengths 6.466, 6.466, 6.466 Å; angles 38.67, 38.67, 38.67 degrees
Sites, in units of the cell vectors:
As (0.000, 0.000, 0.000)
Pb (0.827, 0.827, 0.827)
Au (0.399, 0.399, 0.399)
Au (0.602, 0.602, 0.602)

Calculated values
- DOS(E_F) (states/eV per cell) = 1.20
- density (Mg/m³) = 11.84
- energy relative to the elements (eV per atom) = 0.0497
- symmetry = No. 160
- raw total energy (Ry/atom) = -0.270
- calculated volume (Å³/cell) = 95



DFT (GGA-PBE) results for a relaxed structure of TlZnCdF6.

Cell lengths 5.776, 5.776, 9.465 Å; angles 90.00, 90.00, 120.00 degrees
Sites, in units of the cell vectors:
Tl (0.333, 0.667, 0.250)
Tl (0.667, 0.333, 0.750)
Zn (0.333, 0.667, 0.750)
Zn (0.667, 0.333, 0.250)
Cd (0.000, 0.000, 0.000)
Cd (0.000, 0.000, 0.500)
F (0.043, 0.356, 0.629)
F (0.043, 0.687, 0.871)
F (0.313, 0.356, 0.871)
F (0.313, 0.957, 0.629)
F (0.356, 0.043, 0.129)
F (0.356, 0.313, 0.371)
F (0.644, 0.687, 0.629)
F (0.644, 0.957, 0.871)
F (0.687, 0.043, 0.371)
F (0.687, 0.644, 0.129)
F (0.957, 0.313, 0.129)
F (0.957, 0.644, 0.371)

Calculated values
- DOS(E_F) (states/eV per cell) = 6.29
- density (Mg/m³) = 6.03
- symmetry = No. 163
- raw total energy (Ry/atom) = -0.278
- calculated volume (Å³/cell) = 274



DFT (GGA-PBE) results for a relaxed structure of GdPaFeOs.

Cell lengths 4.824, 4.824, 4.824 Å; angles 60.00, 60.00, 60.00 degrees
Sites, in units of the cell vectors:
Gd (0.000, 0.000, 0.000)
Pa (0.500, 0.500, 0.500)
Fe (0.250, 0.250, 0.250)
Os (0.750, 0.750, 0.750)

Calculated values
- DOS(E_F) (states/eV per cell) = 3.49
- density (Mg/m³) = 13.27
- energy relative to the elements (eV per atom) = -0.0545
- symmetry = No. 216
- raw total energy (Ry/atom) = -0.799
- calculated volume (Å³/cell) = 79